(1)
## AgRuSe2 (PBE-GGA)

Data for a relaxed AgRuSe2 crystal.

```
AgRuSe2
1.0
6.841 -0.004 0.010
5.025 4.642 -0.010
-5.708 -2.895 2.417
Se Ru Ag
2 1 1
direct
0.937 0.937 0.000
0.220 0.720 0.500
0.782 0.282 0.500
0.561 0.561 0.000
```

Output
As for the density of states at the Fermi level: 3.33 states/eV/f.u. As for the calculated volume: 76.72 Å³ per cell. As for the space group: No. 44. For the mass density, the calculation gives 7.941 Mg/m³. The raw formation energy is 0.517 eV/f.u.

***

(2)
## La2InSnPt6 (PBE-GGA)

Data for a relaxed La2InSnPt6 crystal.

```
La2InSnPt6
1.0
-4.286 4.203 3.716
-0.192 -4.783 5.189
1.726 1.866 6.586
Pt Sn In La
6 1 1 2
direct
0.751 0.751 0.000
0.249 0.751 0.000
0.249 0.249 0.502
0.751 0.751 0.498
0.249 0.249 0.000
0.751 0.249 0.000
0.000 0.000 0.000
0.500 0.500 0.000
0.750 0.250 0.500
0.250 0.750 0.500
```

Output
Its formation energy from the elements is -0.181 eV per atom. As for the density of states at the Fermi level: 5.04 states/eV/f.u. As for the calculated volume: 248.79 Å³ per cell. As for the space group: No. 225. For the mass density, the calculation gives 11.225 Mg/m³.

***

(3)
## Mn2ZnSb (PBE-GGA)

Data for a relaxed Mn2ZnSb crystal.

```
Mn2ZnSb
1.0
-1.168 4.185 2.580
-4.639 0.023 2.005
3.882 -3.234 -0.016
Mn Zn Sb
2 1 1
direct
0.000 0.000 0.000
0.750 0.250 0.500
0.250 0.750 0.500
0.500 0.500 0.000
```

Output
As for the density of states at the Fermi level: 2.06 states/eV/f.u. As for the calculated volume: 63.18 Å³ per cell. As for the space group: No. 119. For the mass density, the calculation gives 7.807 Mg/m³. The raw formation energy is 0.554 eV/f.u.

***

(4)
## La2CdCoHg (PBE-GGA)

Data for a relaxed La2CdCoHg crystal.

```
La2CdCoHg
1.0
5.211 0.000 0.000
0.000 5.211 0.000
0.000 0.000 5.080
La Cd Co Hg
2 1 1 1
direct
0.000 0.500 0.000
0.500 0.000 0.000
0.000 0.000 0.500
0.000 0.000 0.000
0.500 0.500 0.500
```

Output
Its formation energy from the elements is -0.285 eV per atom. As for the density of states at the Fermi level: 3.34 states/eV/f.u. As for the calculated volume: 137.97 Å³ per cell. As for the space group: No. 123. For the mass density, the calculation gives 7.820 Mg/m³.

***

(5)
## Li9MgGe2 (PBE-GGA)

Data for a relaxed Li9MgGe2 crystal.

```
Li9MgGe2
1.0
5.643 0.000 0.000
2.822 4.887 0.000
2.822 1.629 7.596
Ge Li Mg
2 9 1
direct
0.127 0.127 0.620
0.873 0.873 0.380
0.656 0.656 0.031
0.385 0.385 0.297
0.066 0.615 0.703
0.615 0.615 0.703
0.500 0.500 0.500
0.934 0.385 0.297
0.615 0.066 0.703
0.385 0.934 0.297
0.344 0.344 0.969
0.000 0.000 0.000
```

Output
Its formation energy from the elements is 0.008 eV per atom. As for the density of states at the Fermi level: 3.36 states/eV/f.u. As for the calculated volume: 209.50 Å³ per cell. As for the space group: No. 166. For the mass density, the calculation gives 1.839 Mg/m³.

***

(6)
## La2Dy3Ho8 (PBE-GGA)

Data for a relaxed La2Dy3Ho8 crystal.

```
La2Dy3Ho8
1.0
-1.803 0.349 -5.168
1.223 -7.473 -0.932
-10.434 1.722 3.756
Dy La Ho
3 2 8
direct
0.000 0.289 0.000
0.500 0.000 0.000
0.000 0.711 0.000
0.500 0.240 0.480
0.500 0.760 0.520
0.500 0.392 0.211
0.000 0.342 0.684
0.500 0.818 0.211
0.000 0.658 0.316
0.500 0.182 0.789
0.500 0.608 0.789
0.000 0.876 0.752
0.000 0.124 0.248
```

Output
Its formation energy from the elements is 0.244 eV per atom. As for the density of states at the Fermi level: 22.34 states/eV/f.u. As for the calculated volume: 441.61 Å³ per cell. As for the space group: No. 65. For the mass density, the calculation gives 7.839 Mg/m³.

***

(7)
## HfGaRh3 (PBE-GGA)

Data for a relaxed HfGaRh3 crystal.

```
HfGaRh3
1.0
-4.380 1.074 1.539
-1.760 -0.992 -4.316
-0.652 -4.535 1.308
Rh Ga Hf
3 1 1
direct
0.000 0.500 0.000
0.500 0.000 0.000
0.000 0.000 0.500
0.500 0.500 0.500
0.000 0.000 0.000
```

Output
Its formation energy from the elements is 0.706 eV per atom. As for the density of states at the Fermi level: 0.49 states/eV/f.u. As for the calculated volume: 108.20 Å³ per cell. As for the space group: No. 221. For the mass density, the calculation gives 8.547 Mg/m³.

***

(8)
## Na2UPtO5 (PBE-GGA)

Data for a relaxed Na2UPtO5 crystal.

```
Na2UPtO5
1.0
-4.394 2.704 -3.044
-3.488 -4.807 0.764
-2.098 2.333 5.101
O U Na Pt
10 2 4 2
direct
0.198 0.813 0.313
0.198 0.313 0.187
0.198 0.687 0.813
0.802 0.187 0.687
0.802 0.313 0.187
0.500 0.000 0.000
0.198 0.187 0.687
0.500 0.500 0.500
0.802 0.687 0.813
0.802 0.813 0.313
0.000 0.500 0.500
0.000 0.000 0.000
0.500 0.658 0.158
0.500 0.842 0.658
0.500 0.158 0.342
0.500 0.342 0.842
0.000 0.000 0.500
0.000 0.500 0.000
```

Output
As for the density of states at the Fermi level: 7.48 states/eV/f.u. As for the calculated volume: 214.82 Å³ per cell. As for the space group: No. 127. For the mass density, the calculation gives 8.643 Mg/m³. The raw formation energy is -13.063 eV/f.u.

***

(9)
## BaSiOs4 (PBE-GGA)

Data for a relaxed BaSiOs4 crystal.

```
BaSiOs4
1.0
2.357 -0.886 4.776
-1.884 2.438 4.433
-2.561 -2.878 3.782
Ba Os Si
1 4 1
direct
0.000 0.000 0.000
0.871 0.376 0.376
0.376 0.376 0.871
0.376 0.376 0.376
0.376 0.871 0.376
0.750 0.750 0.750
```

Output
As for the density of states at the Fermi level: 9.69 states/eV/f.u. As for the calculated volume: 111.28 Å³ per cell. As for the space group: No. 216. For the mass density, the calculation gives 13.823 Mg/m³. The raw formation energy is 6.031 eV/f.u.

***

(10)
## Dy2PaS4 (PBE-GGA)

Data for a relaxed Dy2PaS4 crystal.

```
Dy2PaS4
1.0
3.815 0.000 0.000
-1.908 6.496 0.000
0.000 0.000 12.863
S Dy Pa
8 4 2
direct
0.774 0.547 0.127
0.500 0.000 0.500
0.500 0.000 0.000
0.030 0.061 0.250
0.226 0.453 0.627
0.774 0.547 0.373
0.226 0.453 0.873
0.970 0.939 0.750
0.865 0.729 0.933
0.135 0.271 0.433
0.865 0.729 0.567
0.135 0.271 0.067
0.623 0.245 0.750
0.377 0.755 0.250
```

Output
As for the density of states at the Fermi level: 6.53 states/eV/f.u. As for the calculated volume: 318.79 Å³ per cell. As for the space group: No. 63. For the mass density, the calculation gives 7.129 Mg/m³. The raw formation energy is -12.871 eV/f.u.

***

(11)
## PRu (PBE-GGA)

Data for a relaxed PRu crystal.

```
PRu
1.0
2.955 0.000 0.000
0.000 2.955 0.000
0.000 0.000 2.955
Ru P
1 1
direct
0.500 0.500 0.500
0.000 0.000 0.000
```

Output
Its formation energy from the elements is -0.211 eV per atom. As for the density of states at the Fermi level: 1.89 states/eV/f.u. As for the calculated volume: 25.80 Å³ per cell. As for the space group: No. 221. For the mass density, the calculation gives 8.497 Mg/m³.

***

(12)
## Pr6GeSb2Se3 (PBE-GGA)

Data for a relaxed Pr6GeSb2Se3 crystal.

```
Pr6GeSb2Se3
1.0
-0.417 4.345 0.507
-3.872 -1.278 7.771
9.459 -1.556 2.072
Sb Pr Ge Se
2 6 1 3
direct
0.833 0.666 0.666
0.167 0.334 0.334
0.661 0.074 0.323
0.663 0.588 0.326
0.339 0.926 0.677
0.337 0.412 0.674
0.998 0.238 0.996
0.002 0.762 0.004
0.500 0.000 0.000
0.500 0.500 0.000
0.832 0.166 0.664
0.168 0.834 0.336
```

Output
As for the density of states at the Fermi level: 4.02 states/eV/f.u. As for the calculated volume: 359.54 Å³ per cell. As for the space group: No. 12. For the mass density, the calculation gives 6.459 Mg/m³. The raw formation energy is -17.865 eV/f.u.